(1)
VASP calculation (PBEsol) on a relaxed Ti3AgN crystal.

- Electronic total energy: -41.27 eV/cell
- Size of the total moment: 0.000 μB per formula unit
- Raw formation energy: -0.892 eV/atom

a b c (Å): 4.103 4.103 4.103
angles (deg): 90.00 90.00 90.00
Space group Pm-3m (No. 221)
One atom of each set of equivalent atoms:
Ti 0.000 0.000 0.500 [3 per cell]
Ag 0.500 0.500 0.500 [1 per cell]
N 0.000 0.000 0.000 [1 per cell]

=====

(2)
VASP calculation (PBEsol) on a relaxed YTiAg2N crystal.

- Electronic total energy: -30.47 eV/cell
- Size of the total moment: 0.966 μB per formula unit
- Raw formation energy: -0.035 eV/atom

a b c (Å): 4.653 4.653 3.984
angles (deg): 90.00 90.00 90.00
Space group P4/mmm (No. 123)
One atom of each set of equivalent atoms:
Y 0.000 0.000 0.000 [1 per cell]
Ti 0.500 0.500 0.000 [1 per cell]
Ag 0.000 0.500 0.500 [2 per cell]
N 0.500 0.500 0.500 [1 per cell]

=====

(3)
VASP calculation (PBEsol) on a relaxed AgWN2 crystal.

- Electronic total energy: -89.39 eV/cell
- Size of the total moment: 0.000 μB per formula unit
- Raw formation energy: 1.094 eV/atom

a b c (Å): 3.0356 3.0356 19.2160
angles (deg): 90.00 90.00 120.00
Space group R-3m (No. 166, hexagonal axes)
One atom of each set of equivalent atoms:
Ag 0.0000 0.0000 0.0000 [3 per cell]
W 0.0000 0.0000 0.5000 [3 per cell]
N 0.0000 0.0000 0.4017 [6 per cell]

=====

(4)
VASP calculation (PBEsol) on a relaxed AgWN3 crystal.

- Electronic total energy: -39.64 eV/cell
- Size of the total moment: 1.012 μB per formula unit
- Raw formation energy: 0.612 eV/atom

a b c (Å): 3.952 3.952 3.952
angles (deg): 90.00 90.00 90.00
Space group Pm-3m (No. 221)
One atom of each set of equivalent atoms:
Ag 0.000 0.000 0.000 [1 per cell]
W 0.500 0.500 0.500 [1 per cell]
N 0.000 0.500 0.500 [3 per cell]

=====

> Which value of raw formation energy does entry 3 give?

1.094 eV/atom

=====

> Which of these has the highest electronic total energy?

YTiAg2N